Here is crystalline Er3Tm5Sb8 at its relaxed geometry from Alexandria. Energies are from PBE.

Properties
The value obtained for the density of states at the Fermi level is 0.180 states/eV/atom. The uncorrected formation energy is -1.077 eV per atom.

a b c (Å): 8.6857 8.6857 21.2765
angles (deg): 90.00 90.00 120.00
Space group R-3m (No. 166, hexagonal axes)
Inequivalent atoms, fractional coordinates:
1 Er 0.0000 0.5000 0.0000
2 Tm 0.0000 0.0000 0.0000
3 Tm 0.0000 0.0000 0.5000
4 Tm 0.0000 0.5000 0.5000
5 Sb 0.0000 0.0000 0.2496
6 Sb 0.9995 0.4998 0.2498